# Sm2TlZn2Ga PBE relaxed
data_Sm2TlZn2Ga
_chemical_formula_sum 'Sm2 Tl1 Zn2 Ga1'
_cell_length_a 4.6107
_cell_length_b 4.6107
_cell_length_c 7.4503
_cell_angle_alpha 90.00
_cell_angle_beta 90.00
_cell_angle_gamma 120.00
_space_group_name_H-M_alt 'P 3 m 1'
_space_group_IT_number 156
_space_group_name_Hall 'P 3 -2"'
loop_
_atom_site_label
_atom_site_fract_x
_atom_site_fract_y
_atom_site_fract_z
Sm1 0.0000 0.0000 0.0000
Sm2 0.0000 0.0000 0.4856
Tl1 0.3333 0.6667 0.7131
Zn1 0.3333 0.6667 0.2748
Zn2 0.6667 0.3333 0.7978
Ga1 0.6667 0.3333 0.2100
# Uncorrected energy = -3.352 eV/atom
# M_tot = 0.0 μB per formula unit